Here is a relaxed structure of La9Os2Br14 from Alexandria. Energies are from PBE.

Results
Space-group type: P-3
Uncorrected energy (eV/cell): -126.5

Cell lengths 8.9080, 8.9080, 12.1551 Å; angles 90.00, 90.00, 120.00 degrees
Each line ends with the local moment (μB).
Element x y z (fractional)
La  0.2733  0.9101  0.3480  0.02
La  0.0899  0.3633  0.3480  0.02
La  0.3333  0.6667  0.0563  0.03
La  0.0000  0.0000  0.0000  0.25
La  0.3633  0.2733  0.6520  0.02
La  0.6367  0.7267  0.3480  0.02
La  0.6667  0.3333  0.9437  0.03
La  0.9101  0.6367  0.6520  0.02
La  0.7267  0.0899  0.6520  0.02
Os  0.3333  0.6667  0.2682  0.02
Os  0.6667  0.3333  0.7318  0.02
Br  0.0494  0.6899  0.9073  0.00
Br  0.3188  0.9056  0.6022  0.00
Br  0.0944  0.4132  0.6022  0.00
Br  0.0000  0.0000  0.2514  0.00
Br  0.0000  0.0000  0.7486  0.00
Br  0.3101  0.3595  0.9073  0.00
Br  0.6405  0.9506  0.9073  0.00
Br  0.4132  0.3188  0.3978  0.00
Br  0.5868  0.6812  0.6022  0.00
Br  0.3595  0.0494  0.0927  0.00
Br  0.6899  0.6405  0.0927  0.00
Br  0.9056  0.5868  0.3978  0.00
Br  0.6812  0.0944  0.3978  0.00
Br  0.9506  0.3101  0.0927  0.00



Here is a relaxed structure of KY2Au from Alexandria. Energies are from PBE.

Results
Distance to the lowest polymorph of the same formula (eV per formula unit): 0.70
DFT formation energy (eV per atom): -0.01
Space-group type: Cm

Cell lengths 6.6318, 6.6318, 6.8959 Å; angles 58.85, 58.85, 32.14 degrees
Each line ends with the local moment (μB).
Element x y z (fractional)
Au  0.4725  0.4725  0.6853  0.00
K  0.1941  0.1941  0.2436  0.01
Y  0.0180  0.0180  0.9584  0.12
Y  0.8154  0.8154  0.6126  0.12



Here is a relaxed structure of Li2Cd2F from Alexandria. Energies are from PBE.

Results
Distance to the lowest polymorph of the same formula (eV per formula unit): 1.98
Space-group type: P4/mbm

Cell lengths 6.8241, 6.8241, 4.3285 Å; angles 90.00, 90.00, 90.00 degrees
Element x y z (fractional)
F  0.0000  0.0000  0.0000
F  0.5000  0.5000  0.0000
Li  0.1514  0.6514  0.5000
Li  0.6514  0.8486  0.5000
Li  0.8486  0.3486  0.5000
Li  0.3486  0.1514  0.5000
Cd  0.3491  0.8491  0.0000
Cd  0.8491  0.6509  0.0000
Cd  0.6509  0.1509  0.0000
Cd  0.1509  0.3491  0.0000



Here is a relaxed structure of Sn2BiAu from Alexandria. Energies are from PBE.

Results
DFT formation energy (eV per atom): 0.08
Space-group type: P4/mmm

Cell lengths 4.3800, 4.8862, 4.8862 Å; angles 90.00, 90.00, 90.00 degrees
Element x y z (fractional)
Au  0.5000  0.0000  0.0000
Bi  0.5000  0.5000  0.5000
Sn  0.0000  0.0000  0.5000
Sn  0.0000  0.5000  0.0000



Here is a relaxed structure of TaZn2Sn from Alexandria. Energies are from PBE.

Results
DFT formation energy (eV per atom): 0.14
Space-group type: P4/mmm

Cell lengths 4.0734, 4.1288, 4.1288 Å; angles 90.00, 90.00, 90.00 degrees
Element x y z (fractional)
Zn  0.0000  0.0000  0.5000
Zn  0.0000  0.5000  0.0000
Sn  0.5000  0.0000  0.0000
Ta  0.5000  0.5000  0.5000



Here is a relaxed structure of Ru2PtW from Alexandria. Energies are from PBE.

Results
Distance to the lowest polymorph of the same formula (eV per formula unit): 0.00
DFT formation energy (eV per atom): -0.17
Space-group type: P4/mmm

Cell lengths 3.9268, 3.9268, 3.8143 Å; angles 90.00, 90.00, 90.00 degrees
Element x y z (fractional)
Ru  0.0000  0.0000  0.0000
Ru  0.5000  0.5000  0.0000
W  0.5000  0.0000  0.5000
Pt  0.0000  0.5000  0.5000



Here is a relaxed structure of Ta3GaHg from Alexandria. Energies are from PBE.

Results
Distance to the lowest polymorph of the same formula (eV per formula unit): 0.00
DFT formation energy (eV per atom): 1.15
Space-group type: Pm-3m

Cell lengths 4.7344, 4.7344, 4.7344 Å; angles 90.00, 90.00, 90.00 degrees
Element x y z (fractional)
Hg  0.5000  0.5000  0.5000
Ga  0.0000  0.0000  0.0000
Ta  0.0000  0.5000  0.0000
Ta  0.0000  0.0000  0.5000
Ta  0.5000  0.0000  0.0000



Here is a relaxed structure of Ce6SnIr2 from Alexandria. Energies are from PBE.

Results
Distance to the lowest polymorph of the same formula (eV per formula unit): 0.60
DFT formation energy (eV per atom): -0.47
Space-group type: Immm

Cell lengths 8.5669, 8.5669, 8.5669 Å; angles 100.85, 112.95, 114.95 degrees
Each line ends with the local moment (μB).
Element x y z (fractional)
Ce  0.5138  0.7052  0.8087  0.68
Ce  0.4862  0.2948  0.1913  0.68
Ce  0.1035  0.2948  0.8087  0.68
Ce  0.8965  0.7052  0.1913  0.68
Ce  0.8029  0.7589  0.5618  0.83
Ce  0.1971  0.2411  0.4382  0.83
Ce  0.1971  0.7589  0.9560  0.83
Ce  0.8029  0.2411  0.0440  0.83
Ce  0.6993  0.3727  0.6734  0.66
Ce  0.3007  0.6273  0.3266  0.66
Ce  0.3007  0.9741  0.6734  0.66
Ce  0.6993  0.0259  0.3266  0.66
Sn  0.0000  0.5000  0.5000  -0.04
Sn  0.0000  0.0000  0.0000  -0.01
Ir  0.5000  0.3657  0.8657  -0.05
Ir  0.5000  0.6343  0.1343  -0.05
Ir  0.6601  0.0000  0.6601  -0.05
Ir  0.3399  0.0000  0.3399  -0.05



Please write out number 7 again, unchanged.
Here is a relaxed structure of Ta3GaHg from Alexandria. Energies are from PBE.

Results
Distance to the lowest polymorph of the same formula (eV per formula unit): 0.00
DFT formation energy (eV per atom): 1.15
Space-group type: Pm-3m

Cell lengths 4.7344, 4.7344, 4.7344 Å; angles 90.00, 90.00, 90.00 degrees
Element x y z (fractional)
Hg  0.5000  0.5000  0.5000
Ga  0.0000  0.0000  0.0000
Ta  0.0000  0.5000  0.0000
Ta  0.0000  0.0000  0.5000
Ta  0.5000  0.0000  0.0000



Which formula does entry 5 have?
TaZn2Sn